Record 1
Computed, not measured: a relaxed structure of EuScTlCd at the PBE level of DFT.

Values from the calculation:
The formation energy is -109.5 kJ/mol of formula units.

Cell: 7.519 7.519 7.519 Å, 90.00 90.00 90.00°
Space group F-43m (No. 216)
One atom of each set of equivalent atoms:
Eu 0.000 0.000 0.000 (multiplicity 4)
Sc 0.000 0.000 0.500 (multiplicity 4)
Tl 0.250 0.250 0.250 (multiplicity 4)
Cd 0.250 0.250 0.750 (multiplicity 4)



Record 2
Computed, not measured: a relaxed structure of Sr2YAu at the PBE level of DFT.

Values from the calculation:
The formation energy is -92.1 kJ/mol of formula units. The value obtained for the energy above the lowest structure with this stoichiometry is 120.9 meV/atom.

Cell: 3.804 3.804 9.687 Å, 90.00 90.00 90.00°
Space group P4/mmm (No. 123)
One atom of each set of equivalent atoms:
Sr 0.000 0.000 0.196 (multiplicity 2)
Y 0.500 0.500 0.500 (multiplicity 1)
Au 0.500 0.500 0.000 (multiplicity 1)



Record 3
Computed, not measured: a relaxed structure of NdHo6Er5 at the PBE level of DFT.

Values from the calculation:
The formation energy is 23.4 kJ/mol of formula units.

Cell: 6.111 10.574 11.698 Å, 90.00 99.98 90.00°
Space group C2/m (No. 12)
One atom of each set of equivalent atoms:
Nd 0.000 0.000 0.000 (multiplicity 2)
Ho 0.249 0.333 0.748 (multiplicity 8)
Ho 0.249 0.500 0.252 (multiplicity 4)
Er 0.000 0.167 0.500 (multiplicity 4)
Er 0.000 0.333 0.000 (multiplicity 4)
Er 0.000 0.500 0.500 (multiplicity 2)